Below is crystalline ZnAuCl2 at its relaxed geometry, with properties calculated at the PBE level.

Lattice parameters (Å, degrees): 3.3141 5.3418 6.0918 73.80 90.00 90.00
Element x y z (fractional)
Zn  0.0000  0.4216  0.5752
Au  0.5000  0.7137  0.7266
Cl  0.0000  0.0106  0.8722
Cl  0.5000  0.3541  0.3260

Output
Formation energy without anion corrections ... -0.454 eV/atom
Space group ... Pm (6)
Spin magnetization ... 0.0 μB/f.u.
Relative energy among the computed polymorphs ... 0.000 eV/atom
Volume ... 25.89 A^3/atom
DFT total energy ... -10.06 eV/f.u.